The following is a DFT calculation (PBE) of crystalline Cs3Ce2NdSe6 at its relaxed geometry.

Cell lengths 7.6730, 7.6730, 8.7641 Å; angles 98.39, 98.39, 120.00 degrees
Site moments in Bohr magnetons follow the coordinates.
Fractional positions:
Se 0.9368 0.6038 0.8105  -0.01
Se 0.3962 0.0632 0.1895  -0.01
Se 0.0632 0.3962 0.1895  -0.01
Se 0.6038 0.9368 0.8105  -0.01
Se 0.2700 0.2700 0.8107  -0.01
Se 0.7300 0.7300 0.1893  -0.01
Cs 0.8337 0.1663 0.5000  0.00
Cs 0.1663 0.8337 0.5000  0.00
Cs 0.5000 0.5000 0.5000  0.00
Ce 0.6667 0.3333 0.0000  0.96
Ce 0.3333 0.6667 0.0000  0.96
Nd 0.0000 0.0000 0.0000  0.01

Results
density: 5.0 Mg/m³
energy: -60.34 eV per formula unit
symmetry: No. 12
E_form (uncorrected): -20.24 eV per formula unit